# GGA-PBE BaCa2LaCd4, relaxed
data_BaCa2LaCd4
_chemical_formula_sum 'Ba3 Ca6 La3 Cd12'
_symmetry_space_group_name_H-M 'R -3 m'
_symmetry_Int_Tables_number 166
_symmetry_space_group_name_Hall '-R 3 2"'
_cell_length_a 5.6045
_cell_length_b 5.6045
_cell_length_c 27.6294
_cell_angle_alpha 90.00
_cell_angle_beta 90.00
_cell_angle_gamma 120.00
loop_
_atom_site_label
_atom_site_type_symbol
_atom_site_fract_x
_atom_site_fract_y
_atom_site_fract_z
Ba1 Ba 0.0000 0.0000 0.0000
Ca1 Ca 0.0000 0.0000 0.2490
La1 La 0.0000 0.0000 0.5000
Cd1 Cd 0.0000 0.0000 0.1283
Cd2 Cd 0.0000 0.0000 0.3799
# * E: -2.153 eV/atom
# * energy relative to the elements: -0.339 eV per atom

---

# GGA-PBE BaLi2Ca2Cd2, relaxed
data_BaLi2Ca2Cd2
_chemical_formula_sum 'Ba3 Li6 Ca6 Cd6'
_symmetry_space_group_name_H-M 'R -3 m'
_symmetry_Int_Tables_number 166
_symmetry_space_group_name_Hall '-R 3 2"'
_cell_length_a 5.2124
_cell_length_b 5.2124
_cell_length_c 29.0019
_cell_angle_alpha 90.00
_cell_angle_beta 90.00
_cell_angle_gamma 120.00
loop_
_atom_site_label
_atom_site_type_symbol
_atom_site_fract_x
_atom_site_fract_y
_atom_site_fract_z
Ba1 Ba 0.0000 0.0000 0.0000
Li1 Li 0.0000 0.0000 0.4200
Ca1 Ca 0.0000 0.0000 0.1332
Cd1 Cd 0.0000 0.0000 0.2502
# * E: -1.797 eV/atom
# * energy relative to the elements: -0.142 eV per atom

---

# GGA-PBE BaLiCaCd2, relaxed
data_BaLiCaCd2
_chemical_formula_sum 'Ba1 Li1 Ca1 Cd2'
_symmetry_space_group_name_H-M 'P 4/m m m'
_symmetry_Int_Tables_number 123
_symmetry_space_group_name_Hall '-P 4 2'
_cell_length_a 5.3708
_cell_length_b 5.3708
_cell_length_c 5.3396
_cell_angle_alpha 90.00
_cell_angle_beta 90.00
_cell_angle_gamma 90.00
loop_
_atom_site_label
_atom_site_type_symbol
_atom_site_fract_x
_atom_site_fract_y
_atom_site_fract_z
Ba1 Ba 0.0000 0.0000 0.0000
Li1 Li 0.5000 0.5000 0.5000
Ca1 Ca 0.5000 0.5000 0.0000
Cd1 Cd 0.0000 0.5000 0.5000
# * E: -1.616 eV/atom
# * energy relative to the elements: -0.082 eV per atom

---

# GGA-PBE Ba2Li12CaCd3, relaxed
data_Ba2Li12CaCd3
_chemical_formula_sum 'Ba6 Li36 Ca3 Cd9'
_symmetry_space_group_name_H-M 'R -3 m'
_symmetry_Int_Tables_number 166
_symmetry_space_group_name_Hall '-R 3 2"'
_cell_length_a 10.3939
_cell_length_b 10.3939
_cell_length_c 14.4709
_cell_angle_alpha 90.00
_cell_angle_beta 90.00
_cell_angle_gamma 120.00
loop_
_atom_site_label
_atom_site_type_symbol
_atom_site_fract_x
_atom_site_fract_y
_atom_site_fract_z
Ba1 Ba 0.0000 0.0000 0.2229
Li1 Li 0.0078 0.5039 0.2050
Li2 Li 0.0295 0.5148 0.6083
Ca1 Ca 0.0000 0.0000 0.5000
Cd1 Cd 0.0000 0.5000 0.0000
# * E: -1.742 eV/atom
# * energy relative to the elements: 0.011 eV per atom

---

# GGA-PBE Ba2LiCaCd, relaxed
data_Ba2LiCaCd
_chemical_formula_sum 'Ba2 Li1 Ca1 Cd1'
_symmetry_space_group_name_H-M 'P 4/m m m'
_symmetry_Int_Tables_number 123
_symmetry_space_group_name_Hall '-P 4 2'
_cell_length_a 6.7507
_cell_length_b 6.7507
_cell_length_c 5.2368
_cell_angle_alpha 90.00
_cell_angle_beta 90.00
_cell_angle_gamma 90.00
loop_
_atom_site_label
_atom_site_type_symbol
_atom_site_fract_x
_atom_site_fract_y
_atom_site_fract_z
Ba1 Ba 0.0000 0.5000 0.0000
Li1 Li 0.0000 0.0000 0.5000
Ca1 Ca 0.5000 0.5000 0.5000
Cd1 Cd 0.0000 0.0000 0.0000
# * E: -1.685 eV/atom
# * energy relative to the elements: 0.050 eV per atom

---

# GGA-PBE BaLi2CaCd, relaxed
data_BaLi2CaCd
_chemical_formula_sum 'Ba1 Li2 Ca1 Cd1'
_symmetry_space_group_name_H-M 'P 4/m m m'
_symmetry_Int_Tables_number 123
_symmetry_space_group_name_Hall '-P 4 2'
_cell_length_a 5.5067
_cell_length_b 5.5067
_cell_length_c 5.8919
_cell_angle_alpha 90.00
_cell_angle_beta 90.00
_cell_angle_gamma 90.00
loop_
_atom_site_label
_atom_site_type_symbol
_atom_site_fract_x
_atom_site_fract_y
_atom_site_fract_z
Ba1 Ba 0.0000 0.0000 0.0000
Li1 Li 0.0000 0.5000 0.5000
Ca1 Ca 0.5000 0.5000 0.0000
Cd1 Cd 0.5000 0.5000 0.5000
# * E: -1.709 eV/atom
# * energy relative to the elements: 0.025 eV per atom

---

# GGA-PBE BaLi2CaCd2, relaxed
data_BaLi2CaCd2
_chemical_formula_sum 'Ba1 Li2 Ca1 Cd2'
_symmetry_space_group_name_H-M 'P -3 m 1'
_symmetry_Int_Tables_number 164
_symmetry_space_group_name_Hall '-P 3 2"'
_cell_length_a 5.1210
_cell_length_b 5.1210
_cell_length_c 8.0361
_cell_angle_alpha 90.00
_cell_angle_beta 90.00
_cell_angle_gamma 120.00
loop_
_atom_site_label
_atom_site_type_symbol
_atom_site_fract_x
_atom_site_fract_y
_atom_site_fract_z
Ba1 Ba 0.0000 0.0000 0.0000
Li1 Li 0.3333 0.6667 0.6881
Ca1 Ca 0.0000 0.0000 0.5000
Cd1 Cd 0.3333 0.6667 0.3061
# * E: -1.810 eV/atom
# * energy relative to the elements: -0.213 eV per atom

---

# GGA-PBE BaCaMg2Cd2, relaxed
data_BaCaMg2Cd2
_chemical_formula_sum 'Ba1 Ca1 Mg2 Cd2'
_symmetry_space_group_name_H-M 'P -3 m 1'
_symmetry_Int_Tables_number 164
_symmetry_space_group_name_Hall '-P 3 2"'
_cell_length_a 5.1731
_cell_length_b 5.1731
_cell_length_c 8.1433
_cell_angle_alpha 90.00
_cell_angle_beta 90.00
_cell_angle_gamma 120.00
loop_
_atom_site_label
_atom_site_type_symbol
_atom_site_fract_x
_atom_site_fract_y
_atom_site_fract_z
Ba1 Ba 0.0000 0.0000 0.0000
Ca1 Ca 0.0000 0.0000 0.5000
Mg1 Mg 0.3333 0.6667 0.6907
Cd1 Cd 0.3333 0.6667 0.2989
# * E: -1.709 eV/atom
# * energy relative to the elements: -0.219 eV per atom

---

# GGA-PBE BaCa2MgCd, relaxed
data_BaCa2MgCd
_chemical_formula_sum 'Ba1 Ca2 Mg1 Cd1'
_symmetry_space_group_name_H-M 'P 4/m m m'
_symmetry_Int_Tables_number 123
_symmetry_space_group_name_Hall '-P 4 2'
_cell_length_a 6.0348
_cell_length_b 6.0348
_cell_length_c 5.5193
_cell_angle_alpha 90.00
_cell_angle_beta 90.00
_cell_angle_gamma 90.00
loop_
_atom_site_label
_atom_site_type_symbol
_atom_site_fract_x
_atom_site_fract_y
_atom_site_fract_z
Ba1 Ba 0.0000 0.0000 0.0000
Ca1 Ca 0.0000 0.5000 0.5000
Mg1 Mg 0.5000 0.5000 0.0000
Cd1 Cd 0.5000 0.5000 0.5000
# * E: -1.689 eV/atom
# * energy relative to the elements: -0.002 eV per atom

---

# GGA-PBE BaCaMg2Cd4, relaxed
data_BaCaMg2Cd4
_chemical_formula_sum 'Ba3 Ca3 Mg6 Cd12'
_symmetry_space_group_name_H-M 'R -3 m'
_symmetry_Int_Tables_number 166
_symmetry_space_group_name_Hall '-R 3 2"'
_cell_length_a 5.1705
_cell_length_b 5.1705
_cell_length_c 28.9341
_cell_angle_alpha 90.00
_cell_angle_beta 90.00
_cell_angle_gamma 120.00
loop_
_atom_site_label
_atom_site_type_symbol
_atom_site_fract_x
_atom_site_fract_y
_atom_site_fract_z
Ba1 Ba 0.0000 0.0000 0.0000
Ca1 Ca 0.0000 0.0000 0.5000
Mg1 Mg 0.0000 0.0000 0.2386
Cd1 Cd 0.0000 0.0000 0.1242
Cd2 Cd 0.0000 0.0000 0.3937
# * E: -1.572 eV/atom
# * energy relative to the elements: -0.225 eV per atom

---

# GGA-PBE BaCa2CdN, relaxed
data_BaCa2CdN
_chemical_formula_sum 'Ba1 Ca2 Cd1 N1'
_symmetry_space_group_name_H-M 'P 4/m m m'
_symmetry_Int_Tables_number 123
_symmetry_space_group_name_Hall '-P 4 2'
_cell_length_a 4.9102
_cell_length_b 4.9102
_cell_length_c 5.8608
_cell_angle_alpha 90.00
_cell_angle_beta 90.00
_cell_angle_gamma 90.00
loop_
_atom_site_label
_atom_site_type_symbol
_atom_site_fract_x
_atom_site_fract_y
_atom_site_fract_z
Ba1 Ba 0.0000 0.0000 0.0000
Ca1 Ca 0.0000 0.5000 0.5000
Cd1 Cd 0.5000 0.5000 0.0000
N1 N 0.0000 0.0000 0.5000
# * raw formation energy: -215 kJ/mol of formula units
# * E: -3.478 eV/atom

---

# GGA-PBE Ba2NaCaCd, relaxed
data_Ba2NaCaCd
_chemical_formula_sum 'Ba2 Na1 Ca1 Cd1'
_symmetry_space_group_name_H-M 'P 4/m m m'
_symmetry_Int_Tables_number 123
_symmetry_space_group_name_Hall '-P 4 2'
_cell_length_a 6.7402
_cell_length_b 6.7402
_cell_length_c 5.7742
_cell_angle_alpha 90.00
_cell_angle_beta 90.00
_cell_angle_gamma 90.00
loop_
_atom_site_label
_atom_site_type_symbol
_atom_site_fract_x
_atom_site_fract_y
_atom_site_fract_z
Ba1 Ba 0.0000 0.5000 0.0000
Na1 Na 0.0000 0.0000 0.5000
Ca1 Ca 0.5000 0.5000 0.5000
Cd1 Cd 0.0000 0.0000 0.0000
# * E above lowest polymorph: 62 meV/atom
# * E: -1.545 eV/atom
# * energy relative to the elements: 0.071 eV per atom